Entry 1:
# CsTlHgPt, relaxed, DFT PBE
data_CsTlHgPt
_chemical_formula_sum 'Cs2 Tl2 Hg2 Pt2'
_symmetry_space_group_name_H-M 'I m m 2'
_symmetry_Int_Tables_number 44
_cell_length_a 4.8521
_cell_length_b 5.2883
_cell_length_c 11.2204
_cell_angle_alpha 90.00
_cell_angle_beta 90.00
_cell_angle_gamma 90.00
loop_
_symmetry_equiv_pos_as_xyz
'x,y,z'
'-x,-y,z'
'-x,y,z'
'x,-y,z'
'x+1/2,y+1/2,z+1/2'
'-x+1/2,-y+1/2,z+1/2'
'-x+1/2,y+1/2,z+1/2'
'x+1/2,-y+1/2,z+1/2'
loop_
_atom_site_label
_atom_site_type_symbol
_atom_site_fract_x
_atom_site_fract_y
_atom_site_fract_z
_atom_site_occupancy
Cs1 Cs 0.0000 0.0000 0.0000 1
Tl1 Tl 0.0000 0.0000 0.6522 1
Hg1 Hg 0.0000 0.0000 0.3342 1
Pt1 Pt 0.0000 0.5000 0.2650 1
# M_tot	0.000	μB/atom
# calculated density	8.45	g/cm3
# energy of formation	-62.3	kJ/mol of formula units

Entry 2:
# Na5Tl6Sb, relaxed, DFT PBE
data_Na5Tl6Sb
_chemical_formula_sum 'Na5 Tl6 Sb1'
_symmetry_space_group_name_H-M 'P 1 2/m 1'
_symmetry_Int_Tables_number 10
_cell_length_a 4.7013
_cell_length_b 9.7017
_cell_length_c 7.8561
_cell_angle_alpha 90.00
_cell_angle_beta 106.59
_cell_angle_gamma 90.00
loop_
_symmetry_equiv_pos_as_xyz
'x,y,z'
'-x,-y,-z'
'-x,y,-z'
'x,-y,z'
loop_
_atom_site_label
_atom_site_type_symbol
_atom_site_fract_x
_atom_site_fract_y
_atom_site_fract_z
_atom_site_occupancy
Na1 Na 0.0000 0.0000 0.0000 1
Na2 Na 0.3346 0.0000 0.6680 1
Na3 Na 0.3417 0.5000 0.6832 1
Tl1 Tl 0.1685 0.2547 0.3362 1
Tl2 Tl 0.5000 0.2505 0.0000 1
Sb1 Sb 0.0000 0.5000 0.0000 1
# M_tot	0.000	μB/atom
# raw formation energy	-124	meV per atom
# calculated density	7.07	g/cm3

Entry 3:
# Pm2GaAgSe5, relaxed, DFT PBE
data_Pm2GaAgSe5
_chemical_formula_sum 'Pm8 Ga4 Ag4 Se20'
_symmetry_space_group_name_H-M 'C m c 21'
_symmetry_Int_Tables_number 36
_cell_length_a 4.0219
_cell_length_b 18.4605
_cell_length_c 11.8423
_cell_angle_alpha 90.00
_cell_angle_beta 90.00
_cell_angle_gamma 90.00
loop_
_symmetry_equiv_pos_as_xyz
'x,y,z'
'-x,-y,z+1/2'
'-x,y,z'
'x,-y,z+1/2'
'x+1/2,y+1/2,z'
'-x+1/2,-y+1/2,z+1/2'
'-x+1/2,y+1/2,z'
'x+1/2,-y+1/2,z+1/2'
loop_
_atom_site_label
_atom_site_type_symbol
_atom_site_fract_x
_atom_site_fract_y
_atom_site_fract_z
_atom_site_occupancy
Pm1 Pm 0.0000 0.1177 0.0000 1
Pm2 Pm 0.0000 0.1267 0.6178 1
Ga1 Ga 0.0000 0.4304 0.7738 1
Ag1 Ag 0.0000 0.2245 0.3413 1
Se1 Se 0.0000 0.0407 0.3870 1
Se2 Se 0.0000 0.2887 0.9990 1
Se3 Se 0.0000 0.3178 0.6691 1
Se4 Se 0.0000 0.3671 0.3138 1
Se5 Se 0.0000 0.4985 0.5960 1
# M_tot	0.000	μB/atom
# raw formation energy	-1190	meV per atom
# calculated density	6.51	g/cm3

Entry 4:
# Hf2Al4Mo3, relaxed, DFT PBE
data_Hf2Al4Mo3
_chemical_formula_sum 'Hf8 Al16 Mo12'
_symmetry_space_group_name_H-M 'F m m m'
_symmetry_Int_Tables_number 69
_symmetry_space_group_name_Hall '-F 2 2'
_cell_length_a 5.2185
_cell_length_b 9.2214
_cell_length_c 13.1284
_cell_angle_alpha 90.00
_cell_angle_beta 90.00
_cell_angle_gamma 90.00
loop_
_atom_site_label
_atom_site_type_symbol
_atom_site_fract_x
_atom_site_fract_y
_atom_site_fract_z
_atom_site_occupancy
Hf1 Hf 0.0000 0.0000 0.1235 1
Al1 Al 0.0000 0.1586 0.3251 1
Mo1 Mo 0.0000 0.0000 0.5000 1
Mo2 Mo 0.2500 0.2500 0.0000 1
# M_tot	0.000	μB/atom
# calculated density	7.91	g/cm3
# energy of formation	-243.5	kJ/mol of formula units

Entry 5:
# ScZn2GeIr, relaxed, DFT PBE
data_ScZn2GeIr
_chemical_formula_sum 'Sc1 Zn2 Ge1 Ir1'
_symmetry_space_group_name_H-M 'P 4/m m m'
_symmetry_Int_Tables_number 123
_symmetry_space_group_name_Hall '-P 4 2'
_cell_length_a 4.7619
_cell_length_b 4.7619
_cell_length_c 4.6589
_cell_angle_alpha 90.00
_cell_angle_beta 90.00
_cell_angle_gamma 90.00
loop_
_atom_site_label
_atom_site_type_symbol
_atom_site_fract_x
_atom_site_fract_y
_atom_site_fract_z
_atom_site_occupancy
Sc1 Sc 0.0000 0.0000 0.0000 1
Zn1 Zn 0.0000 0.5000 0.5000 1
Ge1 Ge 0.5000 0.5000 0.0000 1
Ir1 Ir 0.5000 0.5000 0.5000 1
# M_tot	0.000	μB/atom
# calculated density	6.93	g/cm3
# energy of formation	21.1	kJ/mol of formula units

Entry 6:
# PrDy2TmS6, relaxed, DFT PBE
data_PrDy2TmS6
_chemical_formula_sum 'Pr3 Dy6 Tm3 S18'
_symmetry_space_group_name_H-M 'R 3'
_symmetry_Int_Tables_number 146
_symmetry_space_group_name_Hall 'R 3'
_cell_length_a 6.9738
_cell_length_b 6.9738
_cell_length_c 18.5589
_cell_angle_alpha 90.00
_cell_angle_beta 90.00
_cell_angle_gamma 120.00
loop_
_atom_site_label
_atom_site_type_symbol
_atom_site_fract_x
_atom_site_fract_y
_atom_site_fract_z
_atom_site_occupancy
Pr1 Pr 0.0000 0.0000 0.0000 1
Dy1 Dy 0.0000 0.0000 0.2902 1
Dy2 Dy 0.0000 0.0000 0.7951 1
Tm1 Tm 0.0000 0.0000 0.4919 1
S1 S 0.0210 0.7188 0.3926 1
S2 S 0.0282 0.3590 0.5580 1
# M_tot	0.000	μB/atom
# raw formation energy	-2042	meV per atom
# calculated density	5.27	g/cm3

- Among the records above, which one has the lowest calculated density?
  PrDy2TmS6